Density functional theory data (PBE) for a relaxed AgPtRh2 crystal. Values from VASP.

```
&SYSTEM
  ibrav = 0, nat = 4, ntyp = 3
/
ATOMIC_SPECIES
Ag 107.87 Ag.upf
Pt 195.08 Pt.upf
Rh 102.91 Rh.upf
CELL_PARAMETERS angstrom
1.379 -2.368 0.000
1.379 2.368 0.000
0.000 0.000 9.556
ATOMIC_POSITIONS crystal
Ag 0.000 0.000 0.000
Pt 0.500 0.500 0.262
Rh 0.000 0.000 0.510
Rh 0.500 0.500 0.743
```

Results
- Total energy: -5.7242 eV per atom
- D(E_F): 1.368 states/eV/atom
- Formation enthalpy at 0 K: 0.1745 eV/atom
- Size of the total moment: 0.0 μB/f.u.